*A*
VASP calculation (PBE) on a relaxed structure of CaBi3Sb.

The space group is Pm-3m (No. 221) and the conventional cell measures 5.804, 5.804 and 5.804 Å, with angles of 90.00, 90.00 and 90.00 degrees. The distinct sites, in fractional coordinates, are Ca at (0.000, 0.000, 0.000), Bi at (0.000, 0.000, 0.500) and Sb at (0.500, 0.500, 0.500).



*B*
VASP calculation (PBE) on a relaxed structure of CaBi3Sb.

The space group is Pm-3m (No. 221) and the conventional cell measures 5.863, 5.863 and 5.863 Å, with angles of 90.00, 90.00 and 90.00 degrees. The distinct sites, in fractional coordinates, are Ca at (0.000, 0.000, 0.000), Bi at (0.000, 0.500, 0.500) and Sb at (0.500, 0.500, 0.500).



Stability verdict: *B*, ahead by 0.339 eV/atom



*A*
VASP calculation (PBE) on a relaxed structure of CaSc3Bi.

The space group is Pm-3m (No. 221) and the conventional cell measures 5.565, 5.565 and 5.565 Å, with angles of 90.00, 90.00 and 90.00 degrees. The distinct sites, in fractional coordinates, are Ca at (0.000, 0.000, 0.000), Sc at (0.000, 0.500, 0.500) and Bi at (0.500, 0.500, 0.500).



*B*
VASP calculation (PBE) on a relaxed structure of CaSc3Bi.

The space group is Pm-3m (No. 221) and the conventional cell measures 5.247, 5.247 and 5.247 Å, with angles of 90.00, 90.00 and 90.00 degrees. The distinct sites, in fractional coordinates, are Ca at (0.000, 0.000, 0.000), Sc at (0.000, 0.000, 0.500) and Bi at (0.500, 0.500, 0.500).



Stability verdict: *A*, ahead by 0.687 eV/atom



*A*
VASP calculation (PBE) on a relaxed structure of CaBi3Se.

The space group is Pm-3m (No. 221) and the conventional cell measures 5.819, 5.819 and 5.819 Å, with angles of 90.00, 90.00 and 90.00 degrees. The distinct sites, in fractional coordinates, are Ca at (0.000, 0.000, 0.000), Bi at (0.000, 0.000, 0.500) and Se at (0.500, 0.500, 0.500).



*B*
VASP calculation (PBE) on a relaxed structure of CaBi3Se.

The space group is Pm-3m (No. 221) and the conventional cell measures 5.623, 5.623 and 5.623 Å, with angles of 90.00, 90.00 and 90.00 degrees. The distinct sites, in fractional coordinates, are Ca at (0.000, 0.000, 0.000), Bi at (0.000, 0.500, 0.500) and Se at (0.500, 0.500, 0.500).



Stability verdict: *B*, ahead by 0.642 eV/atom



*A*
VASP calculation (PBE) on a relaxed structure of CaSi2Bi.

The space group is Cmcm (No. 63) and the conventional cell measures 4.531, 15.456 and 5.503 Å, with angles of 90.00, 90.00 and 90.00 degrees. The distinct sites, in fractional coordinates, are Ca at (0.000, 0.098, 0.250), Si at (0.000, 0.276, 0.532) and Bi at (0.000, 0.429, 0.250).



*B*
VASP calculation (PBE) on a relaxed structure of CaSi2Bi.

The space group is P-1 (No. 2) and the conventional cell measures 3.806, 6.386 and 8.935 Å, with angles of 79.88, 78.00 and 72.78 degrees. The distinct sites, in fractional coordinates, are Ca at (0.093, 0.143, 0.175), Si at (0.211, 0.249, 0.823), Si at (0.417, 0.538, 0.132) and Bi at (0.362, 0.264, 0.502).



*C*
VASP calculation (PBE) on a relaxed structure of CaSi2Bi.

The space group is P-1 (No. 2) and the conventional cell measures 4.300, 5.993 and 8.145 Å, with angles of 77.79, 89.60 and 70.60 degrees. The distinct sites, in fractional coordinates, are Ca at (0.026, 0.442, 0.284), Si at (0.258, 0.994, 0.640), Si at (0.342, 0.796, 0.407) and Bi at (0.357, 0.779, 0.992).



*D*
VASP calculation (PBE) on a relaxed structure of CaSi2Bi.

The space group is C2/m (No. 12) and the conventional cell measures 18.960, 3.741 and 6.417 Å, with angles of 90.00, 109.78 and 90.00 degrees. The distinct sites, in fractional coordinates, are Ca at (0.086, 0.000, 0.366), Si at (0.217, 0.500, 0.526), Si at (0.222, 0.500, 0.896) and Bi at (0.077, 0.500, 0.884).



Stability verdict: *A*, ahead by 0.025 eV/atom



*A*
VASP calculation (PBE) on a relaxed structure of CaSi2Bi.

The space group is P2_1/m (No. 11) and the conventional cell measures 5.061, 3.604 and 11.001 Å, with angles of 90.00, 98.22 and 90.00 degrees. The distinct sites, in fractional coordinates, are Ca at (0.217, 0.250, 0.245), Si at (0.179, 0.750, 0.989), Si at (0.370, 0.250, 0.881) and Bi at (0.242, 0.250, 0.627).



*B*
VASP calculation (PBE) on a relaxed structure of CaSi2Bi.

The space group is P1 (No. 1) and the conventional cell measures 3.853, 6.064 and 8.957 Å, with angles of 83.15, 80.81 and 89.44 degrees. The distinct sites, in fractional coordinates, are Ca at (0.000, 0.000, 0.000), Ca at (0.314, 0.405, 0.515), Si at (0.430, 0.248, 0.190), Si at (0.430, 0.641, 0.182), Si at (0.877, 0.119, 0.338), Si at (0.877, 0.731, 0.323), Bi at (0.156, 0.883, 0.639) and Bi at (0.593, 0.557, 0.862).



*C*
VASP calculation (PBE) on a relaxed structure of CaSi2Bi.

The space group is P2_1/m (No. 11) and the conventional cell measures 6.632, 3.806 and 8.841 Å, with angles of 90.00, 107.87 and 90.00 degrees. The distinct sites, in fractional coordinates, are Ca at (0.102, 0.250, 0.325), Si at (0.104, 0.750, 0.055), Si at (0.395, 0.750, 0.953) and Bi at (0.379, 0.750, 0.641).



*D*
VASP calculation (PBE) on a relaxed structure of CaSi2Bi.

The space group is P2_1/m (No. 11) and the conventional cell measures 6.233, 3.824 and 8.374 Å, with angles of 90.00, 99.79 and 90.00 degrees. The distinct sites, in fractional coordinates, are Ca at (0.198, 0.250, 0.228), Si at (0.076, 0.250, 0.578), Si at (0.459, 0.250, 0.576) and Bi at (0.331, 0.750, 0.894).



Stability verdict: *C*, ahead by 0.015 eV/atom



*A*
VASP calculation (PBE) on a relaxed structure of CaSi2Bi.

The space group is P2_1/m (No. 11) and the conventional cell measures 4.435, 4.309 and 10.014 Å, with angles of 90.00, 90.16 and 90.00 degrees. The distinct sites, in fractional coordinates, are Ca at (0.249, 0.250, 0.257), Si at (0.250, 0.750, 0.497), Si at (0.251, 0.250, 0.616) and Bi at (0.253, 0.250, 0.893).



*B*
VASP calculation (PBE) on a relaxed structure of CaSi2Bi.

The space group is P-1 (No. 2) and the conventional cell measures 3.800, 5.973 and 9.112 Å, with angles of 91.51, 101.95 and 90.04 degrees. The distinct sites, in fractional coordinates, are Ca at (0.119, 0.247, 0.237), Si at (0.285, 0.059, 0.569), Si at (0.286, 0.454, 0.573) and Bi at (0.448, 0.228, 0.900).



Stability verdict: *B*, ahead by 0.054 eV/atom



*A*
VASP calculation (PBE) on a relaxed structure of CaSi2Bi.

The space group is P-1 (No. 2) and the conventional cell measures 3.812, 5.819 and 9.241 Å, with angles of 83.54, 89.31 and 89.32 degrees. The distinct sites, in fractional coordinates, are Ca at (0.003, 0.292, 0.270), Si at (0.005, 0.140, 0.898), Si at (0.499, 0.626, 0.092) and Bi at (0.492, 0.214, 0.596).



*B*
VASP calculation (PBE) on a relaxed structure of CaSi2Bi.

The space group is Fm-3m (No. 225) and the conventional cell measures 7.270, 7.270 and 7.270 Å, with angles of 90.00, 90.00 and 90.00 degrees. The distinct sites, in fractional coordinates, are Ca at (0.000, 0.000, 0.000), Si at (0.250, 0.250, 0.250) and Bi at (0.000, 0.000, 0.500).



*C*
VASP calculation (PBE) on a relaxed structure of CaSi2Bi.

The space group is C2/m (No. 12) and the conventional cell measures 18.225, 4.456 and 4.983 Å, with angles of 90.00, 104.55 and 90.00 degrees. The distinct sites, in fractional coordinates, are Ca at (0.106, 0.000, 0.336), Si at (0.214, 0.500, 0.716), Si at (0.229, 0.500, 0.232) and Bi at (0.065, 0.500, 0.791).



Stability verdict: *C*, ahead by 0.048 eV/atom



*A*
VASP calculation (PBE) on a relaxed structure of CaSi3Bi.

The space group is Pm-3m (No. 221) and the conventional cell measures 5.262, 5.262 and 5.262 Å, with angles of 90.00, 90.00 and 90.00 degrees. The distinct sites, in fractional coordinates, are Ca at (0.000, 0.000, 0.000), Si at (0.000, 0.000, 0.500) and Bi at (0.500, 0.500, 0.500).



*B*
VASP calculation (PBE) on a relaxed structure of CaSi3Bi.

The space group is Pm-3m (No. 221) and the conventional cell measures 5.396, 5.396 and 5.396 Å, with angles of 90.00, 90.00 and 90.00 degrees. The distinct sites, in fractional coordinates, are Ca at (0.000, 0.000, 0.000), Si at (0.000, 0.500, 0.500) and Bi at (0.500, 0.500, 0.500).



Stability verdict: *B*, ahead by 0.307 eV/atom